# 1
TlSBr2 | Alexandria | PBEsol | relaxed; raw formation energy = 76 meV per atom; space group = I-42d, No. 122
1.0
-5.432 0.855 -1.610
-0.829 -5.665 -0.212
0.759 2.452 8.935
Tl S Br
2 2 4
Direct
0.250 0.750 0.500 Tl
0.000 0.000 0.000 Tl
0.750 0.250 0.500 S
0.500 0.500 0.000 S
0.478 0.875 0.250 Br
0.772 0.375 0.250 Br
0.125 0.228 0.750 Br
0.625 0.522 0.750 Br

***

# 2
Mg3FeN3 | Alexandria | PBEsol | relaxed; raw formation energy = -595 meV per atom; space group = Cmcm, No. 63
1.0
-1.995 -0.196 3.850
2.914 -5.172 1.247
4.084 3.842 2.312
Mg Fe N
6 2 6
Direct
0.750 0.613 0.851 Mg
0.750 0.109 0.891 Mg
0.750 0.149 0.387 Mg
0.250 0.387 0.149 Mg
0.250 0.891 0.109 Mg
0.250 0.851 0.613 Mg
0.250 0.317 0.684 Fe
0.750 0.683 0.316 Fe
0.250 0.590 0.839 N
0.250 0.123 0.878 N
0.250 0.161 0.410 N
0.750 0.410 0.161 N
0.750 0.877 0.122 N
0.750 0.839 0.590 N

***

# 3
TiIrI2 | Alexandria | PBEsol | relaxed; raw formation energy = 545 meV per atom; space group = Fm-3m, No. 225
1.0
4.808 0.000 0.000
2.404 4.164 0.000
2.404 1.388 3.926
I Ir Ti
2 1 1
Direct
0.250 0.250 0.250 I
0.750 0.750 0.750 I
0.500 0.500 0.500 Ir
0.000 0.000 0.000 Ti

***

Number 1: E_tot -2.613 eV/atom. Number 2: E_tot -6.266 eV/atom. Number 3: E_tot -4.875 eV/atom.